Li4Al2NiAg | the Open Quantum Materials Database | GGA-PBE | optimized geometry; uncorrected energy = -3.184 eV/atom
1.0
4.277 0.000 0.000
0.000 4.277 0.000
0.000 0.000 6.130
Li Al Ni Ag
4 2 1 1
direct
0.000 0.000 0.000 Li
0.000 0.500 0.739 Li
0.500 0.000 0.261 Li
0.500 0.500 0.500 Li
0.000 0.500 0.280 Al
0.500 0.000 0.720 Al
0.000 0.000 0.500 Ni
0.500 0.500 0.000 Ag


Hf4B3Au | the Open Quantum Materials Database | GGA-PBE | optimized geometry; uncorrected energy = -8.369 eV/atom
1.0
3.412 0.000 0.000
-1.706 2.955 0.000
0.000 0.000 25.187
Hf B Au
8 6 2
direct
0.000 0.000 0.163 Hf
0.000 0.000 0.337 Hf
0.000 0.000 0.663 Hf
0.000 0.000 0.837 Hf
0.333 0.667 0.056 Hf
0.333 0.667 0.444 Hf
0.667 0.333 0.556 Hf
0.667 0.333 0.944 Hf
0.000 0.000 0.000 B
0.000 0.000 0.500 B
0.333 0.667 0.614 B
0.333 0.667 0.886 B
0.667 0.333 0.114 B
0.667 0.333 0.386 B
0.333 0.667 0.250 Au
0.667 0.333 0.750 Au


SrLuPa | the Open Quantum Materials Database | GGA-PBE | optimized geometry; uncorrected energy = -3.892 eV/atom
1.0
0.000 3.867 3.867
3.867 0.000 3.867
3.867 3.867 0.000
Sr Lu Pa
1 1 1
direct
0.000 0.000 0.000 Sr
0.750 0.750 0.750 Lu
0.500 0.500 0.500 Pa


ScFeSiPt | the Open Quantum Materials Database | GGA-PBE | optimized geometry; uncorrected energy = -6.921 eV/atom
1.0
0.000 3.137 3.137
3.137 0.000 3.137
3.137 3.137 0.000
Sc Fe Si Pt
1 1 1 1
direct
0.000 0.000 0.000 Sc
0.500 0.500 0.500 Fe
0.250 0.250 0.250 Si
0.750 0.750 0.750 Pt


Cs2ZnI4 | the Open Quantum Materials Database | GGA-PBE | optimized geometry; uncorrected energy = -2.496 eV/atom
1.0
8.034 0.000 0.000
0.000 8.332 0.000
-3.764 0.000 10.495
Cs Zn I
4 2 8
direct
0.191 0.250 0.408 Cs
0.305 0.250 0.966 Cs
0.695 0.750 0.034 Cs
0.809 0.750 0.592 Cs
0.310 0.750 0.220 Zn
0.690 0.250 0.780 Zn
0.090 0.750 0.349 I
0.153 0.750 0.969 I
0.474 0.501 0.717 I
0.474 0.999 0.717 I
0.526 0.001 0.283 I
0.526 0.499 0.283 I
0.847 0.250 0.031 I
0.910 0.250 0.651 I


TbHoHf2Sb2 | the Open Quantum Materials Database | GGA-PBE | optimized geometry; uncorrected energy = -6.934 eV/atom
1.0
-2.130 2.130 8.260
2.130 -2.130 8.260
2.130 2.130 -8.260
Tb Ho Hf Sb
1 1 2 2
direct
0.000 0.000 0.000 Tb
0.352 0.352 0.000 Ho
0.177 0.677 0.500 Hf
0.677 0.177 0.500 Hf
0.545 0.545 0.000 Sb
0.808 0.808 0.000 Sb


YHo2Mg3Al2Zn | the Open Quantum Materials Database | GGA-PBE | optimized geometry; uncorrected energy = -3.546 eV/atom
1.0
4.448 0.000 0.000
0.000 6.373 3.671
0.000 -6.373 3.671
Y Ho Mg Al Zn
1 2 3 2 1
direct
0.000 0.000 0.000 Y
0.000 0.420 0.841 Ho
0.000 0.841 0.420 Ho
0.500 0.180 0.421 Mg
0.500 0.421 0.180 Mg
0.500 0.662 0.662 Mg
0.500 0.087 0.753 Al
0.500 0.753 0.087 Al
0.000 0.422 0.422 Zn


YTaBeOs | the Open Quantum Materials Database | GGA-PBE | optimized geometry; uncorrected energy = -8.234 eV/atom
1.0
0.000 3.210 3.210
3.210 0.000 3.210
3.210 3.210 0.000
Y Ta Be Os
1 1 1 1
direct
0.000 0.000 0.000 Y
0.750 0.750 0.750 Ta
0.250 0.250 0.250 Be
0.500 0.500 0.500 Os